(1)
CePrH4: relaxed, PBE-GGA.

a b c (Å): 3.8859 3.8859 5.5007
angles (deg): 90.00 90.00 90.00
With the nearest neighbours (Å) after each atom.
Space group P4/mmm (No. 123)
Unique sites:
Ce1 0.0000 0.0000 0.0000 x1  8 H 2.36
Pr1 0.5000 0.5000 0.5000 x1  8 H 2.40
H1 0.0000 0.5000 0.2448 x4  2 Ce 2.36, 2 Pr 2.40

Computed properties:
- raw total energy (eV for the cell shown) = -27.6

(2)
Zr2TiAlF: relaxed, PBE-GGA.

a b c (Å): 4.9196 4.9196 4.9195
angles (deg): 90.00 90.00 90.00
With the nearest neighbours (Å) after each atom.
Space group P4/mmm (No. 123)
Unique sites:
Zr1 0.0000 0.5000 0.0000 x2  2 Ti 2.46
Ti1 0.0000 0.0000 0.0000 x1  2 Al 2.46, 4 Zr 2.46
Al1 0.0000 0.0000 0.5000 x1  2 Ti 2.46
F1 0.5000 0.5000 0.5000 x1  8 Zr 3.48, 4 Al 3.48

Computed properties:
- E_form (uncorrected) (eV per atom) = 0.458

(3)
Ge3BrO: relaxed, PBE-GGA.

a b c (Å): 4.6593 4.6593 4.6593
angles (deg): 90.00 90.00 90.00
With the nearest neighbours (Å) after each atom.
Space group Pm-3m (No. 221)
Unique sites:
Ge1 0.0000 0.0000 0.5000 x3  2 O 2.33
Br1 0.5000 0.5000 0.5000 x1  12 Ge 3.29
O1 0.0000 0.0000 0.0000 x1  6 Ge 2.33

Computed properties:
- energy above the lowest structure with this stoichiometry (eV/atom) = 0.000
- E_form (uncorrected) (eV per atom) = 0.218

(4)
CaAcZnRh: relaxed, PBE-GGA.

a b c (Å): 4.2325 4.2671 11.6636
angles (deg): 90.00 90.00 90.00
With the nearest neighbours (Å) after each atom.
Space group Amm2 (No. 38)
Unique sites:
Ca1 0.0000 0.0000 0.0000 x2  4 Zn 3.12, 3 Rh 3.26-3.36
Ac1 0.5000 0.0000 0.2774 x2  4 Rh 3.10, 3 Zn 3.21-3.44
Zn1 0.5000 0.0000 0.5722 x2  2 Rh 2.67
Rh1 0.0000 0.0000 0.7117 x2  2 Zn 2.67

Computed properties:
- energy above the lowest structure with this stoichiometry (eV/atom) = 0.000

(5)
Ho2ErCo: relaxed, PBE-GGA.

a b c (Å): 3.5405 3.5405 30.7311
angles (deg): 90.00 90.00 120.00
With the nearest neighbours (Å) after each atom.
Space group R-3m (No. 166, hexagonal axes)
Unique sites:
Ho1 0.0000 0.0000 0.1128 x6  3 Co 2.63
Er1 0.0000 0.0000 0.0000 x3  2 Ho 3.47, 6 Er 3.54
Co1 0.0000 0.0000 0.5000 x3  6 Ho 2.63

Computed properties:
- energy above the lowest structure with this stoichiometry (eV/atom) = 0.350

(6)
Ba2PmCl2O2: relaxed, PBE-GGA.

a b c (Å): 4.6528 4.6528 16.0288
angles (deg): 90.00 90.00 90.00
With the nearest neighbours (Å) after each atom.
Space group I4/mmm (No. 139)
Unique sites:
Ba1 0.0000 0.0000 0.1147 x4  4 O 2.97, 1 Cl 3.24
Pm1 0.0000 0.0000 0.5000 x2  4 O 2.33
Cl1 0.0000 0.0000 0.3170 x4  1 Pm 2.93, 1 Ba 3.24
O1 0.0000 0.5000 0.0000 x4  2 Pm 2.33

Computed properties:
- E_form (uncorrected) (eV per atom) = -2.464

(7)
BeCuRh2: relaxed, PBE-GGA.

a b c (Å): 2.7949 4.4880 8.0211
angles (deg): 90.00 90.00 90.00
With the nearest neighbours (Å) after each atom.
Space group Cmmm (No. 65)
Unique sites:
Be1 0.0000 0.0000 0.0000 x2  4 Rh 2.27
Cu1 0.0000 0.0000 0.5000 x2  4 Rh 2.62, 6 Cu 2.64-2.79
Rh1 0.0000 0.5000 0.2232 x4  2 Be 2.27

Computed properties:
- raw total energy (eV for the cell shown) = -45.8

(8)
TiFe2Ag: relaxed, PBE-GGA.

a b c (Å): 3.7409 3.7409 17.9050
angles (deg): 90.00 90.00 90.00
With the nearest neighbours (Å) after each atom.
Space group I-42d (No. 122)
Unique sites:
Ti1 0.0000 0.0000 0.0000 x4  4 Fe 2.57, 4 Ag 2.65
Fe1 0.2256 0.2500 0.1250 x8  4 Fe 2.52-2.78, 2 Ti 2.57, 2 Ag 2.63
Ag1 0.0000 0.0000 0.5000 x4  4 Fe 2.63, 4 Ti 2.65

Computed properties:
- energy above the lowest structure with this stoichiometry (eV/atom) = 0.182

(9)
MgGeRh3: relaxed, PBE-GGA.

a b c (Å): 12.2532 4.9337 10.2196
angles (deg): 90.00 100.73 90.00
With the nearest neighbours (Å) after each atom.
Space group C2/c (No. 15)
Unique sites:
Mg1 0.1302 0.1929 0.0421 x8  6 Rh 2.59-2.77, 1 Ge 2.71
Ge1 0.0000 0.0164 0.7500 x4  6 Rh 2.53-2.70
Ge2 0.2500 0.2500 0.5000 x4  6 Rh 2.47-2.55, 2 Mg 2.71
Rh1 0.0732 0.3130 0.5840 x8  2 Ge 2.49-2.53, 3 Mg 2.59-2.65, 3 Rh 2.70-2.79
Rh2 0.1051 0.4540 0.3276 x8  2 Ge 2.47-2.70, 4 Rh 2.70-2.76
Rh3 0.2111 0.0374 0.7887 x8  2 Ge 2.54-2.55, 2 Mg 2.70-2.77, 5 Rh 2.74-2.81

Computed properties:
- energy above the lowest structure with this stoichiometry (eV/atom) = 0.000

(10)
NpInPbAu: relaxed, PBE-GGA.

a b c (Å): 7.3480 7.3480 7.3480
angles (deg): 90.00 90.00 90.00
With the nearest neighbours (Å) after each atom.
Space group F-43m (No. 216)
Unique sites:
Np1 0.0000 0.0000 0.0000 x4  4 Pb 3.18, 4 Au 3.18
In1 0.0000 0.0000 0.5000 x4  4 Pb 3.18, 4 Au 3.18
Pb1 0.2500 0.2500 0.2500 x4  4 In 3.18, 4 Np 3.18
Au1 0.2500 0.2500 0.7500 x4  4 In 3.18, 4 Np 3.18

Computed properties:
- raw total energy (eV for the cell shown) = -89.5

(11)
LaSmRu2: relaxed, PBE-GGA.

a b c (Å): 3.5100 3.5100 7.0156
angles (deg): 90.00 90.00 90.00
With the nearest neighbours (Å) after each atom.
Space group P4/mmm (No. 123)
Unique sites:
La1 0.0000 0.0000 0.0000 x1  8 Ru 3.03
Sm1 0.0000 0.0000 0.5000 x1  8 Ru 3.05
Ru1 0.5000 0.5000 0.2480 x2  4 La 3.03, 4 Sm 3.05

Computed properties:
- raw total energy (eV for the cell shown) = -28.6

(12)
NbFeS: relaxed, PBE-GGA.

a b c (Å): 2.9697 3.4711 4.5253
angles (deg): 70.76 84.50 76.46
With the nearest neighbours (Å) after each atom.
Space group P1 (No. 1)
Unique sites:
Nb1 0.0000 0.0000 0.0000 x1  3 S 2.46-2.56, 2 Fe 2.63-2.72
Fe1 0.4691 0.6711 0.5861 x1  3 S 2.14-2.22
S1 0.1103 0.3213 0.4161 x1  3 Fe 2.14-2.22

Computed properties:
- energy above the lowest structure with this stoichiometry (eV/atom) = 0.109
- E_form (uncorrected) (eV per atom) = -0.302

Quick rundown of calculated density, same order as above: 5.70 3.85 5.15 6.86 8.30 5.00 9.19 7.09 8.88 12.66 9.44 7.01 g cm⁻³